[1]
## ZrW2Br (PBE)

Data for a relaxed structure of ZrW2Br.

The excess energy over the best structure of this formula in the dataset is 769 meV/atom. For the formation energy from raw total energies, the calculation gives 3.6 eV per formula unit. As for the crystal system: tetragonal.

It has space group I-4m2 (No. 119), with a = 4.479 Å, b = 4.479 Å, c = 7.332 Å, α = 90.00°, β = 90.00° and γ = 90.00°. The asymmetric unit holds Zr at (0.000, 0.000, 0.000), W at (0.000, 0.000, 0.500), W at (0.000, 0.500, 0.250) and Br at (0.000, 0.500, 0.750).

[2]
## Zr3WBr (PBE)

Data for a relaxed structure of Zr3WBr.

The excess energy over the best structure of this formula in the dataset is 99 meV/atom. For the formation energy from raw total energies, the calculation gives 4.5 eV per formula unit. As for the crystal system: cubic.

It has space group Pm-3m (No. 221), with a = 4.886 Å, b = 4.886 Å, c = 4.886 Å, α = 90.00°, β = 90.00° and γ = 90.00°. The asymmetric unit holds Zr at (0.000, 0.000, 0.500), W at (0.500, 0.500, 0.500) and Br at (0.000, 0.000, 0.000).

[3]
## ZrW2Br (PBE)

Data for a relaxed structure of ZrW2Br.

The excess energy over the best structure of this formula in the dataset is 0 meV/atom. For the formation energy from raw total energies, the calculation gives 0.5 eV per formula unit. As for the crystal system: orthorhombic.

It has space group Amm2 (No. 38), with a = 3.217 Å, b = 3.245 Å, c = 15.344 Å, α = 90.00°, β = 90.00° and γ = 90.00°. The asymmetric unit holds Zr at (0.000, 0.000, 0.000), W at (0.000, 0.000, 0.207), W at (0.500, 0.000, 0.619) and Br at (0.500, 0.000, 0.365).